Here is an optimized crystal structure of Tb2Nd4Sn3N2 from the Alexandria database. Energies are from PBE-GGA.

a = 13.217 Å, b = 13.217 Å, c = 13.217 Å
α = 158.79°, β = 158.79°, γ = 30.17°
Fractional positions:
Tb1 0.194 0.194 0.000
Tb2 0.806 0.806 0.000
Nd1 0.086 0.586 0.500
Nd2 0.414 0.914 0.500
Nd3 0.586 0.086 0.500
Nd4 0.914 0.414 0.500
Sn1 0.321 0.321 0.000
Sn2 0.500 0.500 0.000
Sn3 0.679 0.679 0.000
N1 0.106 0.106 0.000
N2 0.894 0.894 0.000

Properties
**Crystal system**: tetragonal
**Symmetry**: I4/mmm (139)
**E_tot**: -6.1102 eV/atom



Here is an optimized crystal structure of Tb4Nd2Sn3N2 from the Alexandria database. Energies are from PBE-GGA.

a = 13.195 Å, b = 13.195 Å, c = 13.195 Å
α = 159.26°, β = 159.26°, γ = 29.50°
Fractional positions:
Tb1 0.083 0.583 0.500
Tb2 0.417 0.917 0.500
Tb3 0.583 0.083 0.500
Tb4 0.917 0.417 0.500
Nd1 0.192 0.192 0.000
Nd2 0.808 0.808 0.000
Sn1 0.325 0.325 0.000
Sn2 0.500 0.500 0.000
Sn3 0.675 0.675 0.000
N1 0.099 0.099 0.000
N2 0.901 0.901 0.000

Properties
**Crystal system**: tetragonal
**Symmetry**: I4/mmm (139)
**E_tot**: -6.1829 eV/atom



Question: Among the records above, which one has the lowest E_tot?
Answer: Tb4Nd2Sn3N2



Question: Which value of E_tot does entry 1 give?
Answer: -6.1102 eV/atom



Question: Which of these has the highest E_tot?
Answer: Tb2Nd4Sn3N2